1.
# BaYS2, relaxed, DFT PBE
# V ... 39.194 A^3/atom
# Crystal system ... trigonal
# Energy relative to the elements, uncorrected ... -1.39 eV/atom
# Magnetic moment ... 0.02 μB/cell
# Final energy ... -5.549 eV per atom
data_BaYS2
_cell_length_a 8.7971
_cell_length_b 8.7971
_cell_length_c 8.7971
_cell_angle_alpha 30.64
_cell_angle_beta 30.64
_cell_angle_gamma 30.64
_symmetry_space_group_name_H-M 'P 1'
_symmetry_Int_Tables_number 1
loop_
_symmetry_equiv_pos_as_xyz
'x,y,z'
loop_
_atom_site_label
_atom_site_type_symbol
_atom_site_fract_x
_atom_site_fract_y
_atom_site_fract_z
_atom_site_occupancy
Y1 Y 0.0000 0.0000 0.0000 1
S1 S 0.8999 0.8999 0.8999 1
S2 S 0.1001 0.1001 0.1001 1
Ba1 Ba 0.5000 0.5000 0.5000 1

---

2.
# ZnHgBr2, relaxed, DFT PBE
# V ... 31.823 A^3/atom
# Crystal system ... tetragonal
# Energy relative to the elements, uncorrected ... -0.11 eV/atom
# Magnetic moment ... 0.00 μB/cell
# Final energy ... -1.341 eV per atom
data_ZnHgBr2
_cell_length_a 8.1762
_cell_length_b 8.1762
_cell_length_c 8.1762
_cell_angle_alpha 151.11
_cell_angle_beta 151.11
_cell_angle_gamma 41.31
_symmetry_space_group_name_H-M 'P 1'
_symmetry_Int_Tables_number 1
loop_
_symmetry_equiv_pos_as_xyz
'x,y,z'
loop_
_atom_site_label
_atom_site_type_symbol
_atom_site_fract_x
_atom_site_fract_y
_atom_site_fract_z
_atom_site_occupancy
Br1 Br 0.0000 0.0000 0.0000 1
Br2 Br 0.2500 0.7500 0.5000 1
Hg1 Hg 0.5000 0.5000 0.0000 1
Zn1 Zn 0.7500 0.2500 0.5000 1

---

3.
# Zn4Ni, relaxed, DFT PBE
# V ... 19.101 A^3/atom
# Crystal system ... cubic
# E_form ... 264.0 meV/atom
# Magnetic moment ... 0.00 μB/cell
# Final energy ... -1.911 eV per atom
data_Zn4Ni
_cell_length_a 4.5710
_cell_length_b 4.5710
_cell_length_c 4.5710
_cell_angle_alpha 90.00
_cell_angle_beta 90.00
_cell_angle_gamma 90.00
_symmetry_space_group_name_H-M 'P 1'
_symmetry_Int_Tables_number 1
loop_
_symmetry_equiv_pos_as_xyz
'x,y,z'
loop_
_atom_site_label
_atom_site_type_symbol
_atom_site_fract_x
_atom_site_fract_y
_atom_site_fract_z
_atom_site_occupancy
Ni1 Ni 0.5000 0.5000 0.5000 1
Zn1 Zn 0.0000 0.0000 0.0000 1
Zn2 Zn 0.5000 0.0000 0.5000 1
Zn3 Zn 0.0000 0.5000 0.5000 1
Zn4 Zn 0.5000 0.5000 0.0000 1

---

4.
# CsTe, relaxed, DFT PBE
# V ... 48.171 A^3/atom
# Crystal system ... orthorhombic
# Energy relative to the elements, uncorrected ... -0.84 eV/atom
# Magnetic moment ... 0.00 μB/cell
# Final energy ... -2.842 eV per atom
data_CsTe
_cell_length_a 9.9903
_cell_length_b 7.8011
_cell_length_c 9.8895
_cell_angle_alpha 90.00
_cell_angle_beta 90.00
_cell_angle_gamma 90.00
_symmetry_space_group_name_H-M 'P 1'
_symmetry_Int_Tables_number 1
loop_
_symmetry_equiv_pos_as_xyz
'x,y,z'
loop_
_atom_site_label
_atom_site_type_symbol
_atom_site_fract_x
_atom_site_fract_y
_atom_site_fract_z
_atom_site_occupancy
Cs1 Cs 0.7492 0.5003 0.5187 1
Cs2 Cs 0.7508 0.0003 0.4813 1
Cs3 Cs 0.2492 0.4997 0.9813 1
Cs4 Cs 0.2508 0.9997 0.0187 1
Cs5 Cs 0.2498 0.4994 0.5190 1
Cs6 Cs 0.2502 0.9994 0.4810 1
Cs7 Cs 0.7498 0.5006 0.9810 1
Cs8 Cs 0.7502 0.0006 0.0190 1
Te1 Te 0.9996 0.6808 0.2505 1
Te2 Te 0.5004 0.1808 0.7495 1
Te3 Te 0.4996 0.3192 0.2495 1
Te4 Te 0.0004 0.8192 0.7505 1
Te5 Te 0.5005 0.8201 0.7495 1
Te6 Te 0.9995 0.3201 0.2505 1
Te7 Te 0.0005 0.1799 0.7505 1
Te8 Te 0.4995 0.6799 0.2495 1

---

> final energy of number 1 (BaYS2)?

-5.549 eV per atom

---

Please write out number 4 again, unchanged.
# CsTe, relaxed, DFT PBE
# V ... 48.171 A^3/atom
# Crystal system ... orthorhombic
# Energy relative to the elements, uncorrected ... -0.84 eV/atom
# Magnetic moment ... 0.00 μB/cell
# Final energy ... -2.842 eV per atom
data_CsTe
_cell_length_a 9.9903
_cell_length_b 7.8011
_cell_length_c 9.8895
_cell_angle_alpha 90.00
_cell_angle_beta 90.00
_cell_angle_gamma 90.00
_symmetry_space_group_name_H-M 'P 1'
_symmetry_Int_Tables_number 1
loop_
_symmetry_equiv_pos_as_xyz
'x,y,z'
loop_
_atom_site_label
_atom_site_type_symbol
_atom_site_fract_x
_atom_site_fract_y
_atom_site_fract_z
_atom_site_occupancy
Cs1 Cs 0.7492 0.5003 0.5187 1
Cs2 Cs 0.7508 0.0003 0.4813 1
Cs3 Cs 0.2492 0.4997 0.9813 1
Cs4 Cs 0.2508 0.9997 0.0187 1
Cs5 Cs 0.2498 0.4994 0.5190 1
Cs6 Cs 0.2502 0.9994 0.4810 1
Cs7 Cs 0.7498 0.5006 0.9810 1
Cs8 Cs 0.7502 0.0006 0.0190 1
Te1 Te 0.9996 0.6808 0.2505 1
Te2 Te 0.5004 0.1808 0.7495 1
Te3 Te 0.4996 0.3192 0.2495 1
Te4 Te 0.0004 0.8192 0.7505 1
Te5 Te 0.5005 0.8201 0.7495 1
Te6 Te 0.9995 0.3201 0.2505 1
Te7 Te 0.0005 0.1799 0.7505 1
Te8 Te 0.4995 0.6799 0.2495 1

---

Please write out number 1 again, unchanged.
# BaYS2, relaxed, DFT PBE
# V ... 39.194 A^3/atom
# Crystal system ... trigonal
# Energy relative to the elements, uncorrected ... -1.39 eV/atom
# Magnetic moment ... 0.02 μB/cell
# Final energy ... -5.549 eV per atom
data_BaYS2
_cell_length_a 8.7971
_cell_length_b 8.7971
_cell_length_c 8.7971
_cell_angle_alpha 30.64
_cell_angle_beta 30.64
_cell_angle_gamma 30.64
_symmetry_space_group_name_H-M 'P 1'
_symmetry_Int_Tables_number 1
loop_
_symmetry_equiv_pos_as_xyz
'x,y,z'
loop_
_atom_site_label
_atom_site_type_symbol
_atom_site_fract_x
_atom_site_fract_y
_atom_site_fract_z
_atom_site_occupancy
Y1 Y 0.0000 0.0000 0.0000 1
S1 S 0.8999 0.8999 0.8999 1
S2 S 0.1001 0.1001 0.1001 1
Ba1 Ba 0.5000 0.5000 0.5000 1